No. 1
Pm2DyGa2Ag2 (PBE-GGA, optimized geometry); E_form = -2.6 eV/f.u.
1.0
2.313 1.335 9.131
-2.313 1.335 9.131
0.000 -2.671 9.131
Pm Dy Ga Ag
2 1 2 2
direct
0.125 0.125 0.125
0.875 0.875 0.875
0.000 0.000 0.000
0.263 0.263 0.263
0.737 0.737 0.737
0.393 0.393 0.393
0.607 0.607 0.607


No. 2
PrDyGaAg (PBE-GGA, optimized geometry); E_form = -1.7 eV/f.u.
1.0
0.000 3.693 3.693
3.693 0.000 3.693
3.693 3.693 0.000
Pr Dy Ga Ag
1 1 1 1
direct
0.000 0.000 0.000
0.500 0.500 0.500
0.250 0.250 0.250
0.750 0.750 0.750


No. 3
Pr2DyGa2Ag2 (PBE-GGA, optimized geometry); E_form = -2.6 eV/f.u.
1.0
2.319 1.339 9.262
-2.319 1.339 9.262
0.000 -2.678 9.262
Pr Dy Ga Ag
2 1 2 2
direct
0.125 0.125 0.125
0.875 0.875 0.875
0.000 0.000 0.000
0.265 0.265 0.265
0.735 0.735 0.735
0.391 0.391 0.391
0.609 0.609 0.609